TbCeCd6 (PBE, optimized geometry); density = 8.237 g/cm³; space group = No. 38; crystal system = orthorhombic; total DFT energy (no corrections) = -17.930 eV per formula unit
1.0
4.9348 0.0000 0.0000
0.0000 6.6315 0.0579
0.0000 -2.8842 5.9717
Tb Cd Ce
1 6 1
direct
0.5000 0.3929 0.6071
0.5000 0.8773 0.5583
0.0000 0.5774 0.4226
0.0000 0.6231 0.9404
0.5000 0.4417 0.1227
0.0000 0.0596 0.3769
0.5000 0.9204 0.0796
0.0000 0.1074 0.8926